(1)
The following is a DFT calculation (PBE-GGA) of a relaxed structure of Tb3Sm4Sc2.

The structure belongs to space group C2/m (No. 12); the cell edges are 11.0895, 4.9967 and 10.5636 Å and the angles 90.00°, 108.01° and 90.00°. The distinct sites, in fractional coordinates, are Tb at (0.0000, 0.0000, 0.0000), Tb at (0.1677, 0.5000, 0.5547), Sm at (0.0006, 0.0000, 0.6698), Sm at (0.1672, 0.5000, 0.8897) and Sc at (0.1681, 0.5000, 0.2235).

The value obtained for the energy relative to the lowest polymorph listed for this composition is 0.0 meV per atom.

=====

(2)
The following is a DFT calculation (PBE-GGA) of a relaxed structure of Tb7SmSc2.

The structure belongs to space group Cmmm (No. 65); the cell edges are 8.8276, 15.1237 and 5.5767 Å and the angles 90.00°, 90.00° and 90.00°. The distinct sites, in fractional coordinates, are Tb at (0.0000, 0.0000, 0.0000), Tb at (0.0000, 0.2568, 0.5000), Tb at (0.1817, 0.3787, 0.0000), Sm at (0.0000, 0.5000, 0.5000) and Sc at (0.0000, 0.2040, 0.0000).

=====

(3)
The following is a DFT calculation (PBE-GGA) of a relaxed structure of Tb3Sm2Sc.

The structure belongs to space group C2/m (No. 12); the cell edges are 17.5898, 3.4540 and 14.1002 Å and the angles 90.00°, 117.00° and 90.00°. The distinct sites, in fractional coordinates, are Tb at (0.0361, 0.0000, 0.2168), Tb at (0.0990, 0.5000, 0.0275), Tb at (0.2407, 0.5000, 0.2931), Sm at (0.1544, 0.5000, 0.4704), Sm at (0.1792, 0.0000, 0.8787) and Sc at (0.0637, 0.5000, 0.6415).

The value obtained for the energy relative to the lowest polymorph listed for this composition is 113.2 meV per atom.

=====

(4)
The following is a DFT calculation (PBE-GGA) of a relaxed structure of TbSm2Sc4.

The structure belongs to space group Cmmm (No. 65); the cell edges are 3.6690, 21.0929 and 5.2501 Å and the angles 90.00°, 90.00° and 90.00°. The distinct sites, in fractional coordinates, are Tb at (0.0000, 0.0000, 0.0000), Sm at (0.0000, 0.4258, 0.5000), Sc at (0.0000, 0.1982, 0.5000) and Sc at (0.0000, 0.3168, 0.0000).

The value obtained for the energy relative to the lowest polymorph listed for this composition is 0.0 meV per atom.

=====

(5)
The following is a DFT calculation (PBE-GGA) of a relaxed structure of Tb5Sm2Sc4.

The structure belongs to space group C2/m (No. 12); the cell edges are 11.9083, 6.6370 and 10.2311 Å and the angles 90.00°, 125.30° and 90.00°. The distinct sites, in fractional coordinates, are Tb at (0.0000, 0.0000, 0.0000), Tb at (0.1608, 0.2692, 0.6678), Sm at (0.0738, 0.5000, 0.2615), Sc at (0.0943, 0.0000, 0.3663) and Sc at (0.2457, 0.5000, 0.0273).

The value obtained for the energy relative to the lowest polymorph listed for this composition is 135.4 meV per atom.

=====

(6)
The following is a DFT calculation (PBE-GGA) of a relaxed structure of Tb5SmSc6.

The structure belongs to space group C2/m (No. 12); the cell edges are 5.9512, 10.3004 and 11.1332 Å and the angles 90.00°, 100.22° and 90.00°. The distinct sites, in fractional coordinates, are Tb at (0.0000, 0.0000, 0.0000), Tb at (0.0000, 0.1667, 0.5000), Tb at (0.0000, 0.3333, 0.0000), Sm at (0.0000, 0.5000, 0.5000), Sc at (0.2497, 0.0000, 0.7505) and Sc at (0.2501, 0.1667, 0.2495).

=====

(7)
The following is a DFT calculation (PBE-GGA) of a relaxed structure of TbSm7Sc2.

The structure belongs to space group Cmmm (No. 65); the cell edges are 8.9338, 15.3153 and 5.5845 Å and the angles 90.00°, 90.00° and 90.00°. The distinct sites, in fractional coordinates, are Tb at (0.0000, 0.0000, 0.0000), Sm at (0.0000, 0.2458, 0.0000), Sm at (0.0000, 0.5000, 0.5000), Sm at (0.1826, 0.1208, 0.5000) and Sc at (0.0000, 0.2962, 0.5000).

=====

(8)
The following is a DFT calculation (PBE-GGA) of a relaxed structure of Tb2Sm4Sc.

The structure belongs to space group C2/c (No. 15); the cell edges are 6.1511, 24.8884 and 6.1610 Å and the angles 90.00°, 109.32° and 90.00°. The distinct sites, in fractional coordinates, are Tb at (0.0000, 0.1069, 0.2500), Tb at (0.0000, 0.3227, 0.7500), Sm at (0.0000, 0.0372, 0.7500), Sm at (0.0000, 0.1778, 0.7500), Sm at (0.0000, 0.2516, 0.2500), Sm at (0.0000, 0.4643, 0.7500) and Sc at (0.0000, 0.3931, 0.2500).

The value obtained for the energy relative to the lowest polymorph listed for this composition is 0.0 meV per atom.

=====

(9)
The following is a DFT calculation (PBE-GGA) of a relaxed structure of Tb3Sm5Sc.

The structure belongs to space group C2/m (No. 12); the cell edges are 11.3463, 11.4368 and 11.3439 Å and the angles 90.00°, 115.69° and 90.00°. The distinct sites, in fractional coordinates, are Tb at (0.0000, 0.0000, 0.0000), Tb at (0.0000, 0.0000, 0.5000), Tb at (0.1223, 0.5000, 0.1587), Tb at (0.2011, 0.0000, 0.3408), Sm at (0.0000, 0.2541, 0.0000), Sm at (0.0348, 0.5000, 0.3830), Sm at (0.1893, 0.2340, 0.6473), Sm at (0.1949, 0.5000, 0.9088) and Sc at (0.0938, 0.0000, 0.7963).

=====

(10)
The following is a DFT calculation (PBE-GGA) of a relaxed structure of Tb5Sm3Sc4.

The structure belongs to space group C2/m (No. 12); the cell edges are 15.5683, 5.7658 and 9.1592 Å and the angles 90.00°, 117.36° and 90.00°. The distinct sites, in fractional coordinates, are Tb at (0.0000, 0.0000, 0.0000), Tb at (0.0790, 0.5000, 0.4388), Tb at (0.1710, 0.0000, 0.3871), Sm at (0.0000, 0.5000, 0.0000), Sm at (0.2163, 0.5000, 0.8764), Sc at (0.0732, 0.0000, 0.6895) and Sc at (0.2125, 0.5000, 0.2339).

=====

(11)
The following is a DFT calculation (PBE-GGA) of a relaxed structure of Tb6SmSc12.

The structure belongs to space group R-3m (No. 166, hexagonal axes); the cell edges are 12.8264, 12.8264 and 11.5900 Å and the angles 90.00°, 90.00° and 120.00°. The distinct sites, in fractional coordinates, are Tb at (0.0089, 0.5044, 0.2288), Sm at (0.0000, 0.0000, 0.5000), Sc at (0.0000, 0.3857, 0.0000) and Sc at (0.0965, 0.1931, 0.8547).

=====

(12)
The following is a DFT calculation (PBE-GGA) of a relaxed structure of Tb5Sm2Sc.

The structure belongs to space group C2/c (No. 15); the cell edges are 16.0229, 9.7906 and 6.6364 Å and the angles 90.00°, 102.30° and 90.00°. The distinct sites, in fractional coordinates, are Tb at (0.0000, 0.0607, 0.2500), Tb at (0.0998, 0.4025, 0.1522), Tb at (0.2060, 0.0802, 0.0505), Sm at (0.0883, 0.2568, 0.6426) and Sc at (0.2500, 0.2500, 0.5000).

The value obtained for the energy relative to the lowest polymorph listed for this composition is 96.6 meV per atom.

=====

(13)
The following is a DFT calculation (PBE-GGA) of a relaxed structure of Tb3Sm2Sc8.

The structure belongs to space group C2/m (No. 12); the cell edges are 13.7382, 8.7570 and 6.6218 Å and the angles 90.00°, 108.98° and 90.00°. The distinct sites, in fractional coordinates, are Tb at (0.0000, 0.0000, 0.0000), Tb at (0.0000, 0.1822, 0.5000), Sm at (0.2343, 0.0000, 0.4228), Sc at (0.0670, 0.5000, 0.7441), Sc at (0.1200, 0.3175, 0.1556) and Sc at (0.1957, 0.0000, 0.8981).

=====

(14)
The following is a DFT calculation (PBE-GGA) of a relaxed structure of TbSmSc.

The structure belongs to space group P-6m2 (No. 187); the cell edges are 5.5112, 5.5112 and 3.3992 Å and the angles 90.00°, 90.00° and 120.00°. The distinct sites, in fractional coordinates, are Tb at (0.0000, 0.0000, 0.0000), Sm at (0.6667, 0.3333, 0.5000) and Sc at (0.3333, 0.6667, 0.0000).

The value obtained for the energy relative to the lowest polymorph listed for this composition is 37.7 meV per atom.

=====

(15)
The following is a DFT calculation (PBE-GGA) of a relaxed structure of Tb5Sm4Sc.

The structure belongs to space group I4mm (No. 107); the cell edges are 10.6031, 10.6031 and 5.8704 Å and the angles 90.00°, 90.00° and 90.00°. The distinct sites, in fractional coordinates, are Tb at (0.0000, 0.0000, 0.0000), Tb at (0.1862, 0.1862, 0.7125), Sm at (0.0000, 0.3224, 0.2327) and Sc at (0.0000, 0.0000, 0.4696).

The value obtained for the energy relative to the lowest polymorph listed for this composition is 110.5 meV per atom.

=====

(16)
The following is a DFT calculation (PBE-GGA) of a relaxed structure of Tb6Sm8Sc.

The structure belongs to space group R-3 (No. 148, hexagonal axes); the cell edges are 9.7965, 9.7965 and 17.6989 Å and the angles 90.00°, 90.00° and 120.00°. The distinct sites, in fractional coordinates, are Tb at (0.0402, 0.2936, 0.1763), Sm at (0.0000, 0.0000, 0.0891), Sm at (0.0582, 0.2383, 0.6707) and Sc at (0.0000, 0.0000, 0.5000).

The value obtained for the energy relative to the lowest polymorph listed for this composition is 30.9 meV per atom.

=====

(17)
The following is a DFT calculation (PBE-GGA) of a relaxed structure of Tb2Sm7Sc2.

The structure belongs to space group Cmmm (No. 65); the cell edges are 6.5729, 11.7835 and 9.5151 Å and the angles 90.00°, 90.00° and 90.00°. The distinct sites, in fractional coordinates, are Tb at (0.2503, 0.0000, 0.0000), Sm at (0.0000, 0.0000, 0.3191), Sm at (0.0000, 0.5000, 0.5000), Sm at (0.2500, 0.2500, 0.1928) and Sc at (0.0000, 0.2310, 0.5000).

The value obtained for the energy relative to the lowest polymorph listed for this composition is 162.0 meV per atom.

=====

(18)
The following is a DFT calculation (PBE-GGA) of a relaxed structure of Tb9Sm11Sc4.

The structure belongs to space group Cmmm (No. 65); the cell edges are 16.7678, 25.4052 and 3.5860 Å and the angles 90.00°, 90.00° and 90.00°. The distinct sites, in fractional coordinates, are Tb at (0.0000, 0.0000, 0.0000), Tb at (0.1029, 0.2308, 0.0000), Tb at (0.1448, 0.4277, 0.0000), Sm at (0.0000, 0.1292, 0.5000), Sm at (0.0000, 0.3399, 0.5000), Sm at (0.0000, 0.5000, 0.5000), Sm at (0.2017, 0.0000, 0.5000), Sm at (0.2257, 0.3199, 0.5000) and Sc at (0.1568, 0.1021, 0.0000).

=====

(19)
The following is a DFT calculation (PBE-GGA) of a relaxed structure of Tb3Sm2Sc3.

The structure belongs to space group R-3m (No. 166, hexagonal axes); the cell edges are 6.1422, 6.1422 and 22.7384 Å and the angles 90.00°, 90.00° and 120.00°. The distinct sites, in fractional coordinates, are Tb at (0.0000, 0.0000, 0.0000), Tb at (0.0000, 0.0000, 0.4283), Sm at (0.0000, 0.0000, 0.2916) and Sc at (0.0000, 0.5000, 0.5000).

The value obtained for the energy relative to the lowest polymorph listed for this composition is 231.7 meV per atom.

=====

(20)
The following is a DFT calculation (PBE-GGA) of a relaxed structure of Tb2Sm6Sc.

The structure belongs to space group R3m (No. 160, hexagonal axes); the cell edges are 7.3964, 7.3964 and 19.3237 Å and the angles 90.00°, 90.00° and 120.00°. The distinct sites, in fractional coordinates, are Tb at (0.0000, 0.0000, 0.0000), Tb at (0.0000, 0.0000, 0.1727), Sm at (0.0096, 0.5048, 0.1859), Sm at (0.0431, 0.5216, 0.9903) and Sc at (0.0000, 0.0000, 0.7371).

The value obtained for the energy relative to the lowest polymorph listed for this composition is 174.7 meV per atom.

=====

| no. | ΔH_f (0 K) (meV per atom) | energy (eV per cell) |
| --- | --- | --- |
| 1 | 38 | -90.2 |
| 2 | 647 | -86.7 |
| 3 | 147 | -115.1 |
| 4 | 177 | -76.3 |
| 5 | 185 | -111.8 |
| 6 | 57 | -130.4 |
| 7 | 619 | -88.3 |
| 8 | 29 | -137.1 |
| 9 | 574 | -154.6 |
| 10 | 223 | -119.9 |
| 11 | 501 | -296.9 |
| 12 | 126 | -151.6 |
| 13 | 253 | -141.4 |
| 14 | 80 | -15.4 |
| 15 | 222 | -92.3 |
| 16 | 182 | -207.4 |
| 17 | 339 | -102.5 |
| 18 | 50 | -235.4 |
| 19 | 264 | -120.6 |
| 20 | 337 | -122.6 |